Entry from Alexandria via LeMat-Bulk: a relaxed ScAl2Ru crystal (GGA-PBEsol).

Cell and atoms, written as POSCAR:
```
ScAl2Ru
1.0
-0.7242 3.1000 -0.1904
-3.7857 -1.0233 -2.2611
0.0549 -1.3183 5.0360
Sc Ru Al
1 1 2
direct
0.0000 0.5000 0.0000
0.5000 0.0000 0.0000
0.7705 0.7705 0.5410
0.2295 0.2295 0.4590
```

Results
Symmetry: No. 71
ΔE_f: -416 meV per atom
Raw total energy: -6.656 eV per atom
Calculated volume: 63.6 Å³/cell

Entry from Alexandria via LeMat-Bulk: a relaxed La3Sc crystal (GGA-PBEsol).

Cell and atoms, written as POSCAR:
```
La3Sc
1.0
3.5768 0.0000 0.0000
0.0000 6.1034 0.0000
-1.7884 -3.0517 5.7689
Sc La
1 3
direct
0.0000 0.3372 0.0000
0.2582 0.2523 0.5164
0.7418 0.7359 0.4836
0.5000 0.8413 0.0000
```

Results
Symmetry: No. 44
ΔE_f: 69 meV per atom
Raw total energy: -5.592 eV per atom
Calculated volume: 125.9 Å³/cell

Entry from Alexandria via LeMat-Bulk: a relaxed Pr2W2O9 crystal (GGA-PBEsol).

Cell and atoms, written as POSCAR:
```
Pr2W2O9
1.0
-3.1704 -6.4883 -2.5958
7.0685 2.0597 -5.6082
6.0854 -5.2681 5.7353
Pr W O
8 8 36
direct
0.7729 0.3476 0.9482
0.2271 0.1524 0.4482
0.2271 0.6524 0.0518
0.7729 0.8476 0.5518
0.7168 0.4272 0.5477
0.2832 0.0728 0.0477
0.2832 0.5728 0.4523
0.7168 0.9272 0.9523
0.9290 0.2607 0.2496
0.0710 0.2393 0.7496
0.0710 0.7393 0.7504
0.9290 0.7607 0.2504
0.5764 0.4645 0.2278
0.4236 0.0355 0.7278
0.4236 0.5355 0.7722
0.5764 0.9645 0.2722
0.1002 0.1603 0.2186
0.8998 0.3397 0.7186
0.8998 0.8397 0.7814
0.1002 0.6603 0.2814
0.0473 0.3412 0.4107
0.9527 0.1588 0.9107
0.9527 0.6588 0.5893
0.0473 0.8412 0.0893
0.0114 0.4042 0.1211
0.9886 0.0958 0.6211
0.9886 0.5958 0.8789
0.0114 0.9042 0.3789
0.7737 0.0773 0.3775
0.2263 0.4227 0.8775
0.2263 0.9227 0.6225
0.7737 0.5773 0.1225
0.7417 0.8591 0.1882
0.2583 0.6409 0.6882
0.2583 0.1409 0.8118
0.7417 0.3591 0.3118
0.4954 0.8234 0.4030
0.5046 0.6766 0.9030
0.5046 0.1766 0.5970
0.4954 0.3234 0.0970
0.4126 0.5728 0.2097
0.5874 0.9272 0.7097
0.5874 0.4272 0.7903
0.4126 0.0728 0.2903
0.4467 0.3922 0.3953
0.5533 0.1078 0.8953
0.5533 0.6078 0.6047
0.4467 0.8922 0.1047
0.7367 0.6394 0.3651
0.2633 0.8606 0.8651
0.2633 0.3606 0.6349
0.7367 0.1394 0.1349
```

Results
Energy relative to the elements, uncorrected: -2.75 eV per atom
Symmetry: No. 14
Raw total energy: -9.310 eV per atom
Calculated volume: 669.9 Å³/cell

Entry from Alexandria via LeMat-Bulk: a relaxed SrCaMg2 crystal (GGA-PBEsol).

Cell and atoms, written as POSCAR:
```
SrCaMg2
1.0
3.9196 0.0000 0.0000
0.0000 5.8117 0.0000
-1.9598 -2.9059 5.7897
Sr Ca Mg
1 1 2
direct
0.4828 0.4828 0.9657
0.2722 0.7722 0.5444
0.0216 0.0216 0.0432
0.7234 0.2234 0.4468
```

Results
Symmetry: No. 44
ΔE_f: -32 meV per atom
Raw total energy: -1.884 eV per atom
Calculated volume: 131.9 Å³/cell

Entry from Alexandria via LeMat-Bulk: a relaxed YTe2IN crystal (GGA-PBEsol).

Cell and atoms, written as POSCAR:
```
YTe2IN
1.0
4.0892 0.0000 0.0000
0.0000 5.9947 0.0000
0.0000 0.0000 5.9947
I Y Te N
1 1 2 1
direct
0.5000 0.5000 0.5000
0.0000 0.0000 0.0000
0.0000 0.0000 0.5000
0.0000 0.5000 0.0000
0.5000 0.0000 0.0000
```

Results
Energy relative to the elements, uncorrected: 0.27 eV per atom
Symmetry: No. 123
Raw total energy: -4.566 eV per atom
Calculated volume: 147.0 Å³/cell

Entry from Alexandria via LeMat-Bulk: a relaxed KLiTl2 crystal (GGA-PBEsol).

Cell and atoms, written as POSCAR:
```
KLiTl2
1.0
-4.5305 -1.1472 -1.6875
3.8520 -2.9723 -1.0058
-2.1731 -0.8899 6.4393
Tl K Li
2 1 1
direct
0.6940 0.3879 0.5824
0.3060 0.6121 0.4176
0.5000 0.0000 0.0000
0.0000 0.0000 0.5000
```

Results
Symmetry: No. 12
ΔE_f: -144 meV per atom
Raw total energy: -2.234 eV per atom
Calculated volume: 133.4 Å³/cell